First-principles (GGA-PBEsol) data for a geometry-optimized Cr2AgP structure, as listed in Alexandria via LeMat-Bulk.

Cell lengths 3.0682, 4.7048, 4.3321 Å; angles 117.46, 90.00, 109.03 degrees
Closest atoms and distances in Å follow each position.
Element x y z (fractional)
Cr  0.7903  0.5805  0.7898  2 P 2.24
Cr  0.2097  0.4195  0.2102  2 P 2.24
P  0.5000  0.0000  0.0000  4 Cr 2.24
Ag  0.0000  0.0000  0.5000  4 P 2.65, 8 Cr 2.71-2.73

The formation energy comes out at 0.281 eV per atom. For the total magnetization, the calculation gives 0.0 μB per cell. Its space group is Immm (71).